i:
# YCoSnHg | OQMD | PBE-GGA | optimized geometry
data_YCoSnHg
_chemical_formula_sum 'Y4 Co4 Sn4 Hg4'
_cell_length_a 6.917
_cell_length_b 6.917
_cell_length_c 6.917
_cell_angle_alpha 90.00
_cell_angle_beta 90.00
_cell_angle_gamma 90.00
_symmetry_space_group_name_H-M 'F -4 3 m'
_symmetry_Int_Tables_number 216
_symmetry_space_group_name_Hall 'F -4 2 3'
loop_
_atom_site_label
_atom_site_type_symbol
_atom_site_fract_x
_atom_site_fract_y
_atom_site_fract_z
Y1 Y 0.000 0.000 0.000
Co1 Co 0.250 0.250 0.750
Sn1 Sn 0.000 0.000 0.500
Hg1 Hg 0.250 0.250 0.250
# Size of the total moment, μB per cell: 3.71
# Density, g/cm³: 9.38

=====

ii:
# YCoSnHg | OQMD | PBE-GGA | optimized geometry
data_YCoSnHg
_chemical_formula_sum 'Y4 Co4 Sn4 Hg4'
_cell_length_a 6.915
_cell_length_b 6.915
_cell_length_c 6.915
_cell_angle_alpha 90.00
_cell_angle_beta 90.00
_cell_angle_gamma 90.00
_symmetry_space_group_name_H-M 'F -4 3 m'
_symmetry_Int_Tables_number 216
_symmetry_space_group_name_Hall 'F -4 2 3'
loop_
_atom_site_label
_atom_site_type_symbol
_atom_site_fract_x
_atom_site_fract_y
_atom_site_fract_z
Y1 Y 0.000 0.000 0.000
Co1 Co 0.000 0.000 0.500
Sn1 Sn 0.250 0.250 0.250
Hg1 Hg 0.250 0.250 0.750
# Size of the total moment, μB per cell: 3.13
# Density, g/cm³: 9.38

=====

Least stable of them? i.